[1]
This record from OQMD via LeMat-Bulk describes a relaxed MgZnAg2 crystal. The functional is PBE-GGA.

Cell lengths 4.4392, 4.4392, 3.4950 Å; angles 90.00, 90.00, 90.00 degrees
Atoms (fractional coordinates):
Mg1 0.0000 0.0000 0.0000
Zn1 0.5000 0.5000 0.0000
Ag1 0.0000 0.5000 0.5000
Ag2 0.5000 0.0000 0.5000

- energy (eV per atom) = -2.27
- space-group type = P4/mmm

---

[2]
This record from OQMD via LeMat-Bulk describes a relaxed MgZnAg2 crystal. The functional is PBE-GGA.

Cell lengths 3.2574, 3.2574, 6.5448 Å; angles 90.00, 90.00, 90.00 degrees
Atoms (fractional coordinates):
Mg1 0.0000 0.0000 0.0000
Zn1 0.0000 0.0000 0.5000
Ag1 0.5000 0.5000 0.2643
Ag2 0.5000 0.5000 0.7357

- energy (eV per atom) = -2.27
- space-group type = P4/mmm

---

[3]
This record from OQMD via LeMat-Bulk describes a relaxed Mg2ZrAg crystal. The functional is PBE-GGA.

Cell lengths 4.8384, 4.8384, 4.8384 Å; angles 60.00, 60.00, 60.00 degrees
Atoms (fractional coordinates):
Mg1 0.0000 0.0000 0.0000
Mg2 0.2500 0.2500 0.2500
Zr1 0.5000 0.5000 0.5000
Ag1 0.7500 0.7500 0.7500

- energy (eV per atom) = -3.64
- size of the total moment (μB/cell) = 0.0
- space-group type = F-43m

---

[4]
This record from OQMD via LeMat-Bulk describes a relaxed MgZr2Ag crystal. The functional is PBE-GGA.

Cell lengths 3.1554, 3.1554, 8.5461 Å; angles 90.00, 90.00, 90.00 degrees
Atoms (fractional coordinates):
Mg1 0.0000 0.0000 0.0000
Zr1 0.0000 0.0000 0.5407
Zr2 0.5000 0.5000 0.2808
Ag1 0.5000 0.5000 0.7886

- energy (eV per atom) = -5.48
- size of the total moment (μB/cell) = 0.0
- space-group type = P4mm

---

[5]
This record from OQMD via LeMat-Bulk describes a relaxed AgMo crystal. The functional is PBE-GGA.

Cell lengths 2.7793, 2.7793, 4.8993 Å; angles 90.00, 90.00, 120.00 degrees
Atoms (fractional coordinates):
Ag1 0.0000 0.0000 0.0000
Mo1 0.6667 0.3333 0.5000

- formation enthalpy at 0 K (kJ/mol of atoms) = 51.4
- size of the total moment (μB/cell) = 0.0
- space-group type = P-6m2

---

[6]
This record from OQMD via LeMat-Bulk describes a relaxed Ag3Mo11 crystal. The functional is PBE-GGA.

Cell lengths 7.3764, 7.3764, 6.9858 Å; angles 98.12, 98.12, 40.55 degrees
Atoms (fractional coordinates):
Ag1 0.0000 0.0000 0.0000
Ag2 0.3832 0.3832 0.0678
Ag3 0.5729 0.5729 0.1985
Mo1 0.0773 0.5836 0.7092
Mo2 0.1931 0.7032 0.4419
Mo3 0.2567 0.2567 0.3335
Mo4 0.3875 0.8893 0.5615
Mo5 0.4491 0.9452 0.9546
Mo6 0.5203 0.5203 0.7814
Mo7 0.5836 0.0773 0.7092
Mo8 0.7032 0.1931 0.4419
Mo9 0.7709 0.7709 0.3144
Mo10 0.8893 0.3875 0.5615
Mo11 0.9452 0.4491 0.9546

- formation enthalpy at 0 K (kJ/mol of atoms) = 64.0
- size of the total moment (μB/cell) = 0.0
- space-group type = Cm

---

[7]
This record from OQMD via LeMat-Bulk describes a relaxed Na2Ag2Mo3 crystal. The functional is PBE-GGA.

Cell lengths 7.7845, 7.7845, 7.7845 Å; angles 33.56, 33.56, 33.56 degrees
Atoms (fractional coordinates):
Na1 0.0000 0.0000 0.0000
Na2 0.4252 0.4252 0.4252
Ag1 0.1350 0.1350 0.1350
Ag2 0.7052 0.7052 0.7052
Mo1 0.2583 0.2583 0.2583
Mo2 0.5709 0.5709 0.5709
Mo3 0.8667 0.8667 0.8667

- energy (eV per atom) = -5.24
- size of the total moment (μB/cell) = 0.4
- space-group type = R3m

---

[8]
This record from OQMD via LeMat-Bulk describes a relaxed NaNiAgMo crystal. The functional is PBE-GGA.

Cell lengths 4.4816, 4.4816, 4.4816 Å; angles 60.00, 60.00, 60.00 degrees
Atoms (fractional coordinates):
Na1 0.0000 0.0000 0.0000
Ni1 0.2500 0.2500 0.2500
Ag1 0.7500 0.7500 0.7500
Mo1 0.5000 0.5000 0.5000

- energy (eV per atom) = -4.38
- size of the total moment (μB/cell) = 0.0
- space-group type = F-43m